Below is a geometry-optimized Cr3AsOs structure, with properties calculated at the PBE-GGA level.

Unit cell a=4.689 b=4.689 c=4.689 alpha=90.00 beta=90.00 gamma=90.00
Space group Pm-3m (No. 221)
Unique sites:
1 Cr 0.000 0.000 0.500
2 As 0.500 0.500 0.500
3 Os 0.000 0.000 0.000

Properties
Uncorrected energy = -38.53 eV per cell

Below is a geometry-optimized Cr2AsOs structure, with properties calculated at the PBE-GGA level.

Unit cell a=2.943 b=4.212 c=8.493 alpha=90.00 beta=90.00 gamma=90.00
Space group Imm2 (No. 44)
Unique sites:
1 Cr 0.000 0.000 0.000
2 Cr 0.000 0.500 0.237
3 As 0.000 0.000 0.509
4 Os 0.000 0.500 0.768

Properties
Uncorrected energy = -68.74 eV per cell

Below is a geometry-optimized Cr2AsOs structure, with properties calculated at the PBE-GGA level.

Unit cell a=2.824 b=2.824 c=6.534 alpha=90.00 beta=90.00 gamma=90.00
Space group P4/mmm (No. 123)
Unique sites:
1 Cr 0.000 0.000 0.237
2 As 0.500 0.500 0.000
3 Os 0.500 0.500 0.500

Properties
Uncorrected energy = -34.70 eV per cell

Below is a geometry-optimized CrAs2Os structure, with properties calculated at the PBE-GGA level.

Unit cell a=3.975 b=3.975 c=7.625 alpha=90.00 beta=90.00 gamma=90.00
Space group I-4m2 (No. 119)
Unique sites:
1 Cr 0.000 0.000 0.000
2 As 0.000 0.000 0.500
3 As 0.000 0.500 0.250
4 Os 0.000 0.500 0.750

Properties
Uncorrected energy = -57.03 eV per cell

Below is a geometry-optimized CrAs2Os structure, with properties calculated at the PBE-GGA level.

Unit cell a=6.072 b=6.072 c=6.072 alpha=90.00 beta=90.00 gamma=90.00
Space group Fm-3m (No. 225)
Unique sites:
1 Cr 0.000 0.000 0.000
2 As 0.250 0.250 0.250
3 Os 0.000 0.000 0.500

Properties
Uncorrected energy = -117.03 eV per cell

Below is a geometry-optimized CrAs2Os structure, with properties calculated at the PBE-GGA level.

Unit cell a=2.849 b=4.858 c=9.914 alpha=90.00 beta=90.00 gamma=90.00
Space group Cmm2 (No. 35)
Unique sites:
1 Cr 0.000 0.000 0.000
2 As 0.000 0.000 0.572
3 As 0.000 0.500 0.205
4 Os 0.000 0.500 0.791

Properties
Uncorrected energy = -57.40 eV per cell

no.,ΔH_f (0 K) (eV/atom)
1,1.244
2,0.189
3,0.106
4,0.410
5,0.224
6,0.363